No. 1
Density functional theory data (GGA-PBE) for AcAl2Te6 after structural relaxation.

Properties
As for the uncorrected formation energy: -0.58 eV per atom. For the density of states at the Fermi level, the calculation gives 0.45 states/eV/atom. As for the total magnetic moment: 0.0 μB per formula unit. Its mass density is 5.4 g cm⁻³.

CIF file:
```
data_AcAl2Te6
_chemical_formula_sum 'Ac4 Al8 Te24'
_symmetry_space_group_name_H-M 'C 1 2/c 1'
_symmetry_Int_Tables_number 15
_cell_length_a 16.4413
_cell_length_b 10.8857
_cell_length_c 7.9561
_cell_angle_alpha 90.00
_cell_angle_beta 115.05
_cell_angle_gamma 90.00
loop_
_symmetry_equiv_pos_as_xyz
'x,y,z'
'-x,-y,-z'
'-x,y,-z+1/2'
'x,-y,z+1/2'
'x+1/2,y+1/2,z'
'-x+1/2,-y+1/2,-z'
'-x+1/2,y+1/2,-z+1/2'
'x+1/2,-y+1/2,z+1/2'
loop_
_atom_site_label
_atom_site_type_symbol
_atom_site_fract_x
_atom_site_fract_y
_atom_site_fract_z
Ac1 Ac 0.0000 0.1779 0.2500
Al1 Al 0.2456 0.0316 0.2406
Te1 Te 0.1012 0.0897 0.7078
Te2 Te 0.1489 0.4325 0.4039
Te3 Te 0.1547 0.2336 0.0731
```


No. 2
Density functional theory data (GGA-PBE) for DyAlGa after structural relaxation.

Properties
For the density of states at the Fermi level, the calculation gives 0.50 states/eV/atom. As for the total magnetic moment: 0.0 μB per formula unit. Its mass density is 6.1 g cm⁻³. Its formation energy is -0.271 eV per atom.

CIF file:
```
data_DyAlGa
_chemical_formula_sum 'Dy4 Al4 Ga4'
_symmetry_space_group_name_H-M 'C m c m'
_symmetry_Int_Tables_number 63
_symmetry_space_group_name_Hall '-C 2c 2'
_cell_length_a 3.5764
_cell_length_b 16.5666
_cell_length_c 4.7669
_cell_angle_alpha 90.00
_cell_angle_beta 90.00
_cell_angle_gamma 90.00
loop_
_atom_site_label
_atom_site_type_symbol
_atom_site_fract_x
_atom_site_fract_y
_atom_site_fract_z
Dy1 Dy 0.0000 0.1634 0.2500
Al1 Al 0.0000 0.0338 0.7500
Ga1 Ga 0.0000 0.3428 0.2500
```


No. 3
Density functional theory data (GGA-PBE) for CoSe4Br after structural relaxation.

Properties
As for the uncorrected formation energy: 0.02 eV per atom. For the density of states at the Fermi level, the calculation gives 0.80 states/eV/atom. The calculation puts the relative energy among the computed polymorphs at 0.178 eV per formula unit. As for the total magnetic moment: 0.4 μB per formula unit. Its mass density is 3.7 g cm⁻³.

CIF file:
```
data_CoSe4Br
_chemical_formula_sum 'Co4 Se16 Br4'
_symmetry_space_group_name_H-M 'C 1 2/m 1'
_symmetry_Int_Tables_number 12
_cell_length_a 14.0101
_cell_length_b 9.4775
_cell_length_c 6.2531
_cell_angle_alpha 90.00
_cell_angle_beta 98.27
_cell_angle_gamma 90.00
loop_
_symmetry_equiv_pos_as_xyz
'x,y,z'
'-x,-y,-z'
'-x,y,-z'
'x,-y,z'
'x+1/2,y+1/2,z'
'-x+1/2,-y+1/2,-z'
'-x+1/2,y+1/2,-z'
'x+1/2,-y+1/2,z'
loop_
_atom_site_label
_atom_site_type_symbol
_atom_site_fract_x
_atom_site_fract_y
_atom_site_fract_z
Co1 Co 0.0011 0.0000 0.3040
Se1 Se 0.0000 0.1416 0.0000
Se2 Se 0.0933 0.1695 0.5389
Se3 Se 0.2043 0.0000 0.8133
Br1 Br 0.1184 0.5000 0.1502
```